A plane-wave DFT calculation with GGA-PBE was carried out for a geometry-optimized Nd2Tm3Pb2 structure.

Formation enthalpy at 0 K = -0.3153 eV/atom
Spin magnetization = 0.006 μB/cell

Cell lengths 4.4684, 6.5468, 8.6384 Å; angles 110.26, 90.00, 109.95 degrees
Closest atoms and distances in Å follow each position.
Element x y z (fractional)
Nd  0.8649  0.7298  0.2085  3 Pb 3.29-3.47, 2 Tm 3.63
Nd  0.1351  0.2702  0.7915  3 Pb 3.29-3.47, 2 Tm 3.63
Tm  0.5000  0.0000  0.0000  4 Pb 3.13
Tm  0.6191  0.2383  0.4402  3 Pb 3.19-3.20, 2 Tm 3.45-3.54
Tm  0.3809  0.7617  0.5598  3 Pb 3.19-3.20, 2 Tm 3.45-3.54
Pb  0.8313  0.6626  0.7915  5 Tm 3.13-3.20, 3 Nd 3.29-3.47
Pb  0.1687  0.3374  0.2085  5 Tm 3.13-3.20, 3 Nd 3.29-3.47

A plane-wave DFT calculation with GGA-PBE was carried out for a geometry-optimized NdTmPb2 structure.

Formation enthalpy at 0 K = -0.4720 eV/atom
Spin magnetization = 0.000 μB/cell

Cell lengths 4.5586, 4.4913, 6.3162 Å; angles 90.00, 111.10, 90.00 degrees
Closest atoms and distances in Å follow each position.
Element x y z (fractional)
Nd  0.7120  0.0000  0.9651  7 Pb 3.18-3.55
Tm  0.4539  0.5000  0.4448  7 Pb 3.19-3.54
Pb  0.1812  0.5000  0.9038  3 Tm 3.19-3.54, 4 Nd 3.22, 2 Pb 3.25
Pb  0.9839  0.0000  0.5043  3 Nd 3.18-3.55, 4 Tm 3.22, 2 Pb 3.25

A plane-wave DFT calculation with GGA-PBE was carried out for a geometry-optimized NdTmPb2 structure.

Formation enthalpy at 0 K = -0.3457 eV/atom
Spin magnetization = 0.000 μB/cell

Cell lengths 3.8552, 3.8552, 9.7913 Å; angles 78.65, 78.65, 60.00 degrees
Closest atoms and distances in Å follow each position.
Element x y z (fractional)
Pb  0.7531  0.7531  0.7406  3 Tm 3.20, 3 Nd 3.33
Pb  0.2469  0.2469  0.2594  3 Tm 3.20, 3 Nd 3.33
Tm  0.5000  0.5000  0.5000  6 Pb 3.20
Nd  0.0000  0.0000  0.0000  6 Pb 3.33

A plane-wave DFT calculation with GGA-PBE was carried out for a geometry-optimized NdTm3Pb2 structure.

Formation enthalpy at 0 K = -0.3091 eV/atom
Spin magnetization = 0.003 μB/cell

Cell lengths 4.5927, 10.5490, 9.5240 Å; angles 124.64, 90.00, 102.57 degrees
Closest atoms and distances in Å follow each position.
Element x y z (fractional)
Nd  0.8858  0.7716  0.9055  6 Pb 3.29-3.49, 1 Tm 3.59
Nd  0.1142  0.2284  0.0945  6 Pb 3.29-3.49, 1 Tm 3.59
Tm  0.3071  0.6142  0.5020  3 Pb 3.17-3.21, 4 Tm 3.27-3.36
Tm  0.9424  0.8847  0.5714  3 Pb 3.06-3.31, 3 Tm 3.35-3.36
Tm  0.6397  0.2794  0.7945  4 Pb 3.20-3.30, 1 Tm 3.57
Tm  0.3603  0.7206  0.2055  4 Pb 3.20-3.30, 1 Tm 3.57
Tm  0.0576  0.1153  0.4286  3 Pb 3.06-3.31, 3 Tm 3.35-3.36
Tm  0.6929  0.3858  0.4980  3 Pb 3.17-3.21, 4 Tm 3.27-3.36
Pb  0.4883  0.9767  0.8251  4 Tm 3.06-3.30, 1 Pb 3.08, 2 Nd 3.29
Pb  0.5117  0.0233  0.1749  4 Tm 3.06-3.30, 1 Pb 3.08, 2 Nd 3.29
Pb  0.7561  0.5123  0.2201  7 Tm 3.20-3.57, 2 Nd 3.34
Pb  0.2439  0.4877  0.7799  7 Tm 3.20-3.57, 2 Nd 3.34

A plane-wave DFT calculation with GGA-PBE was carried out for a geometry-optimized Nd6TmPb10 structure.

Formation enthalpy at 0 K = -0.4050 eV/atom
Spin magnetization = 0.000 μB/cell

Cell lengths 6.5797, 9.5759, 9.5759 Å; angles 120.00, 90.00, 90.00 degrees
Closest atoms and distances in Å follow each position.
Element x y z (fractional)
Nd  0.7370  0.3892  0.3892  8 Pb 3.30-3.43
Nd  0.7370  0.0000  0.6108  8 Pb 3.30-3.43
Nd  0.7370  0.6108  0.0000  8 Pb 3.30-3.43
Nd  0.2630  0.6108  0.6108  8 Pb 3.30-3.43
Nd  0.2630  0.0000  0.3892  8 Pb 3.30-3.43
Nd  0.2630  0.3892  0.0000  8 Pb 3.30-3.43
Tm  0.5000  0.0000  0.0000  6 Pb 3.13
Pb  0.7959  0.7445  0.7445  1 Tm 3.13, 4 Nd 3.30-3.42
Pb  0.7959  0.0000  0.2555  1 Tm 3.13, 4 Nd 3.30-3.42
Pb  0.7959  0.2555  0.0000  1 Tm 3.13, 4 Nd 3.30-3.42
Pb  0.2041  0.2555  0.2555  1 Tm 3.13, 4 Nd 3.30-3.42
Pb  0.2041  0.0000  0.7445  1 Tm 3.13, 4 Nd 3.30-3.42
Pb  0.2041  0.7445  0.0000  1 Tm 3.13, 4 Nd 3.30-3.42
Pb  0.5000  0.3333  0.6667  2 Pb 3.29, 6 Nd 3.35
Pb  0.5000  0.6667  0.3333  2 Pb 3.29, 6 Nd 3.35
Pb  0.0000  0.6667  0.3333  2 Pb 3.29, 6 Nd 3.43
Pb  0.0000  0.3333  0.6667  2 Pb 3.29, 6 Nd 3.43

A plane-wave DFT calculation with GGA-PBE was carried out for a geometry-optimized NdTm12Pb7 structure.

Formation enthalpy at 0 K = -0.2395 eV/atom
Spin magnetization = 0.001 μB/cell

Cell lengths 9.3166, 9.3166, 9.3166 Å; angles 110.29, 110.29, 110.29 degrees
Closest atoms and distances in Å follow each position.
Element x y z (fractional)
Nd  0.0000  0.0000  0.0000  6 Pb 3.44
Tm  0.9996  0.2785  0.7211  4 Pb 3.14-3.34, 2 Tm 3.31
Tm  0.7215  0.2789  0.0004  4 Pb 3.14-3.34, 2 Tm 3.31
Tm  0.5010  0.1690  0.5012  4 Pb 3.09-3.35, 1 Tm 3.13
Tm  0.8310  0.4988  0.4990  4 Pb 3.09-3.35, 1 Tm 3.13
Tm  0.2789  0.0004  0.7215  4 Pb 3.14-3.34, 2 Tm 3.31
Tm  0.4988  0.4990  0.8310  4 Pb 3.09-3.35, 1 Tm 3.13
Tm  0.5012  0.5010  0.1690  4 Pb 3.09-3.35, 1 Tm 3.13
Tm  0.7211  0.9996  0.2785  4 Pb 3.14-3.34, 2 Tm 3.31
Tm  0.1690  0.5012  0.5010  4 Pb 3.09-3.35, 1 Tm 3.13
Tm  0.4990  0.8310  0.4988  4 Pb 3.09-3.35, 1 Tm 3.13
Tm  0.2785  0.7211  0.9996  4 Pb 3.14-3.34, 2 Tm 3.31
Tm  0.0004  0.7215  0.2789  4 Pb 3.14-3.34, 2 Tm 3.31
Pb  0.8677  0.5591  0.8679  7 Tm 3.14-3.35, 1 Nd 3.44
Pb  0.4409  0.1321  0.1323  7 Tm 3.14-3.35, 1 Nd 3.44
Pb  0.1321  0.1323  0.4409  7 Tm 3.14-3.35, 1 Nd 3.44
Pb  0.5000  0.5000  0.5000  6 Tm 3.09
Pb  0.8679  0.8677  0.5591  7 Tm 3.14-3.35, 1 Nd 3.44
Pb  0.5591  0.8679  0.8677  7 Tm 3.14-3.35, 1 Nd 3.44
Pb  0.1323  0.4409  0.1321  7 Tm 3.14-3.35, 1 Nd 3.44

A plane-wave DFT calculation with GGA-PBE was carried out for a geometry-optimized NdTm3Pb5 structure.

Formation enthalpy at 0 K = -0.3430 eV/atom
Spin magnetization = 0.000 μB/cell

Cell lengths 6.5145, 9.5761, 9.5761 Å; angles 120.00, 90.00, 90.00 degrees
Closest atoms and distances in Å follow each position.
Element x y z (fractional)
Nd  0.0000  0.0000  0.0000  2 Nd 3.26, 6 Pb 3.30
Nd  0.5000  0.0000  0.0000  2 Nd 3.26, 6 Pb 3.30
Tm  0.7500  0.3773  0.0000  9 Pb 3.09-3.42
Tm  0.7500  0.6227  0.6227  9 Pb 3.09-3.42
Tm  0.7500  0.0000  0.3773  9 Pb 3.09-3.42
Tm  0.2500  0.6227  0.0000  9 Pb 3.09-3.42
Tm  0.2500  0.3773  0.3773  9 Pb 3.09-3.42
Tm  0.2500  0.0000  0.6227  9 Pb 3.09-3.42
Pb  0.0000  0.3333  0.6667  2 Pb 3.26, 6 Tm 3.42
Pb  0.5000  0.6667  0.3333  2 Pb 3.26, 6 Tm 3.42
Pb  0.0000  0.6667  0.3333  2 Pb 3.26, 6 Tm 3.42
Pb  0.5000  0.3333  0.6667  2 Pb 3.26, 6 Tm 3.42
Pb  0.7500  0.7004  0.0000  5 Tm 3.09-3.34, 2 Nd 3.30
Pb  0.7500  0.2996  0.2996  5 Tm 3.09-3.34, 2 Nd 3.30
Pb  0.7500  0.0000  0.7004  5 Tm 3.09-3.34, 2 Nd 3.30
Pb  0.2500  0.2996  0.0000  5 Tm 3.09-3.34, 2 Nd 3.30
Pb  0.2500  0.7004  0.7004  5 Tm 3.09-3.34, 2 Nd 3.30
Pb  0.2500  0.0000  0.2996  5 Tm 3.09-3.34, 2 Nd 3.30

A plane-wave DFT calculation with GGA-PBE was carried out for a geometry-optimized NdTm2Pb9 structure.

Formation enthalpy at 0 K = -0.2698 eV/atom
Spin magnetization = 0.000 μB/cell

Cell lengths 4.8956, 4.8956, 14.6076 Å; angles 90.00, 90.00, 90.00 degrees
Closest atoms and distances in Å follow each position.
Element x y z (fractional)
Nd  0.0000  0.0000  0.0000  12 Pb 3.46-3.50
Tm  0.0000  0.0000  0.3336  12 Pb 3.41-3.46
Tm  0.0000  0.0000  0.6664  12 Pb 3.41-3.46
Pb  0.5000  0.5000  0.0000  4 Nd 3.46, 8 Pb 3.50
Pb  0.5000  0.5000  0.3356  8 Pb 3.43, 4 Tm 3.46
Pb  0.5000  0.5000  0.6644  8 Pb 3.43, 4 Tm 3.46
Pb  0.5000  0.0000  0.1712  2 Tm 3.41, 8 Pb 3.43-3.50, 2 Nd 3.50
Pb  0.5000  0.0000  0.5000  8 Pb 3.43-3.46, 4 Tm 3.45
Pb  0.5000  0.0000  0.8288  2 Tm 3.41, 8 Pb 3.43-3.50, 2 Nd 3.50
Pb  0.0000  0.5000  0.1712  2 Tm 3.41, 8 Pb 3.43-3.50, 2 Nd 3.50
Pb  0.0000  0.5000  0.5000  8 Pb 3.43-3.46, 4 Tm 3.45
Pb  0.0000  0.5000  0.8288  2 Tm 3.41, 8 Pb 3.43-3.50, 2 Nd 3.50